Density functional theory data (PBE with a Hubbard U) for a relaxed Ho2ErMoO6 crystal.

Cell: 5.693 5.693 5.983 Å, 61.60 61.60 59.99°
Site moments in Bohr magnetons follow the coordinates.
Sites, in units of the cell vectors:
Ho1 0.528 0.528 0.415  0.03
Ho2 0.023 0.023 0.932  0.01
Er1 0.809 0.809 0.573  0.04
Mo1 0.318 0.318 0.047  2.70
O1 0.609 0.205 0.256  0.02
O2 0.204 0.931 0.256  0.02
O3 0.930 0.609 0.256  0.02
O4 0.423 0.699 0.761  0.01
O5 0.699 0.117 0.761  0.01
O6 0.117 0.423 0.760  0.01

Computed properties:
Fermi-level density of states: 0.000 states/eV/cell
VASP energy: -81.4 eV/cell
Magnetization: 3.0 Bohr magnetons per cell